No. 1
The following is a DFT calculation (GGA-PBE) of crystalline UNbN2 at its relaxed geometry.

The space group is R3m (No. 160, hexagonal axes) and the conventional cell measures 3.1738, 3.1738 and 17.3764 Å, with angles of 90.00, 90.00 and 120.00 degrees. The inequivalent atoms are U at (0.0000, 0.0000, 0.0000), Nb at (0.0000, 0.0000, 0.8244), N at (0.0000, 0.0000, 0.2350) and N at (0.0000, 0.0000, 0.4196).

Its magnetization is 0.40 μB per atom. Its crystal system is trigonal. The calculation puts the density of states at the Fermi level at 1.0035 states/eV/atom. The uncorrected formation energy comes out at -1033 meV per atom.

---

No. 2
The following is a DFT calculation (GGA-PBE) of crystalline U5NbN6 at its relaxed geometry.

The space group is C2/m (No. 12) and the conventional cell measures 5.871, 10.154 and 5.876 Å, with angles of 90.00, 109.42 and 90.00 degrees. The inequivalent atoms are U at (0.000, 0.000, 0.000), U at (0.000, 0.166, 0.500), U at (0.000, 0.334, 0.000), Nb at (0.000, 0.500, 0.500), N at (0.240, 0.339, 0.738) and N at (0.240, 0.500, 0.258).

Its magnetization is 0.56 μB per atom. Its crystal system is monoclinic. The calculation puts the density of states at the Fermi level at 1.8235 states/eV/atom. The uncorrected formation energy comes out at -1297 meV per atom.

---

No. 3
The following is a DFT calculation (GGA-PBE) of crystalline UNb2N4 at its relaxed geometry.

The space group is Cmcm (No. 63) and the conventional cell measures 3.156, 10.305 and 10.276 Å, with angles of 90.00, 90.00 and 90.00 degrees. The inequivalent atoms are U at (0.000, 0.111, 0.250), Nb at (0.000, 0.367, 0.063), N at (0.000, 0.000, 0.000), N at (0.000, 0.268, 0.623) and N at (0.000, 0.457, 0.250).

Its magnetization is 0.18 μB per atom. Its crystal system is orthorhombic. The calculation puts the density of states at the Fermi level at 0.8719 states/eV/atom. The uncorrected formation energy comes out at -1098 meV per atom.

---

No. 4
The following is a DFT calculation (GGA-PBE) of crystalline Y2UNbN4 at its relaxed geometry.

The space group is P2/m (No. 10) and the conventional cell measures 5.740, 3.384 and 5.873 Å, with angles of 90.00, 108.96 and 90.00 degrees. The inequivalent atoms are Y at (0.000, 0.000, 0.000), Y at (0.500, 0.500, 0.000), U at (0.000, 0.500, 0.500), Nb at (0.500, 0.000, 0.500), N at (0.244, 0.000, 0.733) and N at (0.255, 0.500, 0.273).

Its magnetization is 0.04 μB per atom. Its crystal system is monoclinic. The calculation puts the density of states at the Fermi level at 0.6210 states/eV/atom. The uncorrected formation energy comes out at -1442 meV per atom.

---

No. 5
The following is a DFT calculation (GGA-PBE) of crystalline Zr2U3NbN6 at its relaxed geometry.

The space group is C2/m (No. 12) and the conventional cell measures 5.754, 9.972 and 5.796 Å, with angles of 90.00, 109.30 and 90.00 degrees. The inequivalent atoms are Zr at (0.000, 0.167, 0.000), U at (0.000, 0.000, 0.500), U at (0.000, 0.334, 0.500), Nb at (0.000, 0.500, 0.000), N at (0.245, 0.334, 0.237) and N at (0.248, 0.000, 0.237).

Its magnetization is 0.36 μB per atom. Its crystal system is monoclinic. The calculation puts the density of states at the Fermi level at 1.1009 states/eV/atom. The uncorrected formation energy comes out at -1433 meV per atom.

---

No. 6
The following is a DFT calculation (GGA-PBE) of crystalline Zr3U2NbN6 at its relaxed geometry.

The space group is C2/m (No. 12) and the conventional cell measures 5.683, 9.810 and 5.788 Å, with angles of 90.00, 109.08 and 90.00 degrees. The inequivalent atoms are Zr at (0.000, 0.000, 0.000), Zr at (0.000, 0.338, 0.000), U at (0.000, 0.166, 0.500), Nb at (0.000, 0.500, 0.500), N at (0.247, 0.500, 0.247) and N at (0.250, 0.166, 0.245).

Its magnetization is 0.06 μB per atom. Its crystal system is monoclinic. The calculation puts the density of states at the Fermi level at 0.7340 states/eV/atom. The uncorrected formation energy comes out at -1490 meV per atom.

---

> Which of these has the lowest magnetization?

Y2UNbN4

---

> Which of these has the highest magnetization?

U5NbN6

---

> magnetization of number 4 (Y2UNbN4)?

0.04 μB per atom

---

> The lowest magnetization belongs to which entry?

Y2UNbN4